Entry one
LaSb2TeO: optimized geometry, PBE.

Cell lengths 6.1608, 6.1608, 5.9977 Å; angles 90.00, 90.00, 90.00 degrees
Positions (direct):
Sb  0.5000  0.0000  0.0000
Sb  0.0000  0.5000  0.0000
Te  0.0000  0.0000  0.5000
O  0.5000  0.5000  0.5000
La  0.0000  0.0000  0.0000

Results
- DOS(E_F) (states/eV/atom) = 3.454
- symmetry = No. 123
- total magnetization (μB per formula unit) = 0.000

---

Entry two
LaSb2TeO: optimized geometry, PBE.

Cell lengths 4.8411, 4.8411, 5.0969 Å; angles 90.00, 90.00, 90.00 degrees
Positions (direct):
O  0.0000  0.0000  0.0000
Te  0.0000  0.0000  0.5000
Sb  0.0000  0.5000  0.0000
Sb  0.5000  0.0000  0.0000
La  0.5000  0.5000  0.5000

Results
- DOS(E_F) (states/eV/atom) = 0.727
- symmetry = No. 123
- total magnetization (μB per formula unit) = 0.000

---

Verdict on stability: entry two comes out on top.

---

Entry one
LaSc3O: optimized geometry, PBE.

Cell lengths 4.6876, 4.6876, 4.6876 Å; angles 90.00, 90.00, 90.00 degrees
Positions (direct):
Sc  0.5000  0.0000  0.0000
Sc  0.0000  0.0000  0.5000
Sc  0.0000  0.5000  0.0000
La  0.5000  0.5000  0.5000
O  0.0000  0.0000  0.0000

Results
- DOS(E_F) (states/eV/atom) = 1.713
- symmetry = No. 221
- total magnetization (μB per formula unit) = 0.000

---

Entry two
LaSc3O: optimized geometry, PBE.

Cell lengths 5.1754, 5.1754, 5.1754 Å; angles 90.00, 90.00, 90.00 degrees
Positions (direct):
Sc  0.0000  0.5000  0.0000
Sc  0.0000  0.0000  0.5000
Sc  0.5000  0.0000  0.0000
O  0.5000  0.5000  0.5000
La  0.0000  0.0000  0.0000

Results
- DOS(E_F) (states/eV/atom) = 1.163
- symmetry = No. 221
- total magnetization (μB per formula unit) = 0.000

---

Verdict on stability: entry one comes out on top.

---

Entry one
LaSc2O4: optimized geometry, PBE.

Cell lengths 6.6050, 6.6050, 6.6050 Å; angles 119.99, 119.99, 90.02 degrees
Positions (direct):
O  0.3919  0.6080  0.2161
O  0.8581  0.1420  0.2840
O  0.3919  0.1758  0.7838
O  0.8242  0.6081  0.2161
O  0.3919  0.6081  0.7838
O  0.8581  0.5742  0.7161
O  0.8581  0.1420  0.7162
O  0.4258  0.1419  0.2839
La  0.2500  0.7500  0.5000
La  0.0000  0.0000  0.0000
Sc  0.6249  0.3750  0.7500
Sc  0.6250  0.3749  0.2499
Sc  0.1250  0.3751  0.7500
Sc  0.6251  0.8750  0.2501

Results
- DOS(E_F) (states/eV/atom) = 0.397
- symmetry = No. 227
- total magnetization (μB per formula unit) = 0.000

---

Entry two
LaSc2O4: optimized geometry, PBE.

Cell lengths 3.2345, 5.5060, 10.6444 Å; angles 90.00, 90.00, 107.08 degrees
Positions (direct):
O  0.2317  0.4635  0.6084
O  0.0563  0.1126  0.2500
O  0.7683  0.5365  0.3916
O  0.5000  0.0000  0.0000
O  0.2317  0.4635  0.8916
O  0.7683  0.5365  0.1084
O  0.9437  0.8874  0.7500
O  0.5000  0.0000  0.5000
Sc  0.8691  0.7383  0.5663
Sc  0.1309  0.2617  0.4337
Sc  0.1309  0.2617  0.0663
Sc  0.8691  0.7383  0.9337
La  0.6173  0.2345  0.7500
La  0.3827  0.7655  0.2500

Results
- DOS(E_F) (states/eV/atom) = 0.196
- symmetry = No. 63
- total magnetization (μB per formula unit) = 0.000

---

Verdict on stability: entry two comes out on top.

---

Entry one
LaSc2SiO: optimized geometry, PBE.

Cell lengths 4.3229, 5.7103, 4.3229 Å; angles 90.00, 90.00, 90.00 degrees
Positions (direct):
La  0.5000  0.5000  0.5000
Si  0.0000  0.5000  0.0000
Sc  0.0000  0.0000  0.5000
Sc  0.5000  0.0000  0.0000
O  0.0000  0.0000  0.0000

Results
- DOS(E_F) (states/eV/atom) = 1.171
- symmetry = No. 123
- total magnetization (μB per formula unit) = 0.000

---

Entry two
LaSc2SiO: optimized geometry, PBE.

Cell lengths 5.3682, 5.1014, 5.3682 Å; angles 90.00, 90.00, 90.00 degrees
Last column: magnetic moment on the atom in μB.
Positions (direct):
Si  0.0000  0.5000  0.0000  0.00
O  0.5000  0.5000  0.5000  -0.16
La  0.0000  0.0000  0.0000  0.00
Sc  0.0000  0.0000  0.5000  0.02
Sc  0.5000  0.0000  0.0000  0.01

Results
- DOS(E_F) (states/eV/atom) = 0.771
- symmetry = No. 123
- total magnetization (μB per formula unit) = 0.119

---

Verdict on stability: entry one comes out on top.

---

Entry one
LaSc2TiO: optimized geometry, PBE.

Cell lengths 5.2540, 4.6142, 5.2540 Å; angles 90.00, 90.00, 90.00 degrees
Positions (direct):
Sc  0.5000  0.0000  0.0000
Sc  0.0000  0.0000  0.5000
O  0.5000  0.5000  0.5000
Ti  0.0000  0.5000  0.0000
La  0.0000  0.0000  0.0000

Results
- DOS(E_F) (states/eV/atom) = 1.740
- symmetry = No. 123
- total magnetization (μB per formula unit) = 0.001

---

Entry two
LaSc2TiO: optimized geometry, PBE.

Cell lengths 4.4014, 4.4014, 5.1563 Å; angles 90.00, 90.00, 90.00 degrees
Last column: magnetic moment on the atom in μB.
Positions (direct):
O  0.0000  0.0000  0.0000  0.00
Sc  0.5000  0.0000  0.0000  0.01
Sc  0.0000  0.5000  0.0000  0.01
La  0.0000  0.0000  0.5000  0.03
Ti  0.5000  0.5000  0.5000  0.40

Results
- DOS(E_F) (states/eV/atom) = 1.561
- symmetry = No. 123
- total magnetization (μB per formula unit) = 0.641

---

Verdict on stability: entry two comes out on top.

---

Entry one
La2ScTiO: optimized geometry, PBE.

Cell lengths 5.3168, 5.3168, 4.0257 Å; angles 90.00, 90.00, 90.00 degrees
Last column: magnetic moment on the atom in μB.
Positions (direct):
La  0.5000  0.0000  0.0000  0.00
La  0.0000  0.5000  0.0000  0.00
Ti  0.0000  0.0000  0.5000  0.07
O  0.0000  0.0000  0.0000  0.00
Sc  0.5000  0.5000  0.5000  -0.02

Results
- DOS(E_F) (states/eV/atom) = 1.002
- symmetry = No. 123
- total magnetization (μB per formula unit) = 0.053

---

Entry two
La2ScTiO: optimized geometry, PBE.

Cell lengths 5.2048, 5.2048, 4.2164 Å; angles 90.00, 90.00, 90.00 degrees
Positions (direct):
La  0.5000  0.0000  0.0000
La  0.0000  0.5000  0.0000
Sc  0.0000  0.0000  0.5000
Ti  0.5000  0.5000  0.5000
O  0.0000  0.0000  0.0000

Results
- DOS(E_F) (states/eV/atom) = 0.849
- symmetry = No. 123
- total magnetization (μB per formula unit) = 0.004

---

Verdict on stability: entry one comes out on top.

---

Entry one
LaY2ScO: optimized geometry, PBE.

Cell lengths 4.8132, 4.8132, 5.2862 Å; angles 90.00, 90.00, 90.00 degrees
Positions (direct):
O  0.0000  0.0000  0.0000
Y  0.0000  0.5000  0.0000
Y  0.5000  0.0000  0.0000
Sc  0.5000  0.5000  0.5000
La  0.0000  0.0000  0.5000

Results
- DOS(E_F) (states/eV/atom) = 1.480
- symmetry = No. 123
- total magnetization (μB per formula unit) = 0.002

---

Entry two
LaY2ScO: optimized geometry, PBE.

Cell lengths 5.2149, 5.2149, 4.3835 Å; angles 90.00, 90.00, 90.00 degrees
Positions (direct):
Sc  0.0000  0.0000  0.5000
O  0.0000  0.0000  0.0000
Y  0.0000  0.5000  0.0000
Y  0.5000  0.0000  0.0000
La  0.5000  0.5000  0.5000

Results
- DOS(E_F) (states/eV/atom) = 1.331
- symmetry = No. 123
- total magnetization (μB per formula unit) = 0.000

---

Verdict on stability: entry one comes out on top.

---

Entry one
LaSc2ZnO: optimized geometry, PBE.

Cell lengths 4.4841, 4.4841, 4.9452 Å; angles 90.00, 90.00, 90.00 degrees
Positions (direct):
O  0.0000  0.0000  0.0000
Sc  0.0000  0.5000  0.0000
Sc  0.5000  0.0000  0.0000
La  0.0000  0.0000  0.5000
Zn  0.5000  0.5000  0.5000

Results
- DOS(E_F) (states/eV/atom) = 0.765
- symmetry = No. 123
- total magnetization (μB per formula unit) = 0.000

---

Entry two
LaSc2ZnO: optimized geometry, PBE.

Cell lengths 4.8965, 5.8455, 4.8965 Å; angles 90.00, 90.00, 90.00 degrees
Positions (direct):
Sc  0.5000  0.0000  0.0000
Sc  0.0000  0.0000  0.5000
O  0.5000  0.5000  0.5000
La  0.0000  0.5000  0.0000
Zn  0.0000  0.0000  0.0000

Results
- DOS(E_F) (states/eV/atom) = 1.044
- symmetry = No. 123
- total magnetization (μB per formula unit) = 0.005

---

Verdict on stability: entry one comes out on top.

---

Entry one
La2SeO: optimized geometry, PBE.

Cell lengths 6.0391, 5.8788, 10.9745 Å; angles 91.42, 90.00, 90.00 degrees
Positions (direct):
O  0.8153  0.0548  0.1285
O  0.1847  0.9452  0.8715
O  0.8153  0.4452  0.3715
O  0.1847  0.5548  0.6285
La  0.7851  0.0253  0.3560
La  0.2149  0.9747  0.6440
La  0.7851  0.4747  0.1440
La  0.2156  0.9962  0.1019
La  0.7844  0.0038  0.8981
La  0.7844  0.4962  0.6019
La  0.2156  0.5038  0.3981
La  0.2149  0.5253  0.8560
Se  0.2826  0.4961  0.1272
Se  0.7174  0.9961  0.6272
Se  0.2826  0.0039  0.3728
Se  0.7174  0.5039  0.8728

Results
- DOS(E_F) (states/eV/atom) = 0.667
- symmetry = No. 13
- total magnetization (μB per formula unit) = 0.000

---

Entry two
La2SeO: optimized geometry, PBE.

Cell lengths 4.9392, 4.9392, 4.9392 Å; angles 60.00, 60.00, 60.00 degrees
Positions (direct):
La  0.7500  0.7500  0.7500
La  0.2500  0.2500  0.2500
Se  0.5000  0.5000  0.5000
O  0.0000  0.0000  0.0000

Results
- DOS(E_F) (states/eV/atom) = 0.853
- symmetry = No. 225
- total magnetization (μB per formula unit) = 0.000

---

Verdict on stability: entry one comes out on top.

---

Entry one
La3Se2O2: optimized geometry, PBE.

Cell lengths 7.1239, 7.6945, 6.8085 Å; angles 90.00, 67.34, 90.00 degrees
Positions (direct):
O  0.4492  0.6105  0.3418
O  0.0508  0.1105  0.6582
O  0.9492  0.8895  0.3418
O  0.5508  0.3895  0.6582
La  0.2539  0.3738  0.5735
La  0.5000  0.5000  0.0000
La  0.0000  0.0000  0.0000
La  0.2461  0.8738  0.4265
La  0.7461  0.6262  0.4265
La  0.7539  0.1262  0.5735
Se  0.5701  0.1503  0.2075
Se  0.0701  0.3497  0.2075
Se  0.9299  0.6503  0.7925
Se  0.4299  0.8497  0.7925

Results
- DOS(E_F) (states/eV/atom) = 0.697
- symmetry = No. 14
- total magnetization (μB per formula unit) = 0.008

---

Entry two
La3Se2O2: optimized geometry, PBE.

Cell lengths 4.0502, 8.1647, 10.5068 Å; angles 78.30, 78.89, 75.64 degrees
Last column: magnetic moment on the atom in μB.
Positions (direct):
La  0.9054  0.0198  0.1694  0.06
La  0.1295  0.5216  0.2194  0.05
La  0.6005  0.2595  0.5395  0.01
La  0.3995  0.7405  0.4605  0.01
La  0.0946  0.9802  0.8306  0.06
La  0.8705  0.4784  0.7806  0.05
Se  0.2564  0.1382  0.3490  0.00
Se  0.3938  0.2429  0.9696  -0.01
Se  0.6062  0.7571  0.0304  -0.01
Se  0.7436  0.8618  0.6510  0.00
O  0.9558  0.7679  0.3205  0.00
O  0.4235  0.5067  0.6463  0.00
O  0.0442  0.2321  0.6795  0.00
O  0.5765  0.4933  0.3537  0.00

Results
- DOS(E_F) (states/eV/atom) = 0.427
- symmetry = No. 12
- total magnetization (μB per formula unit) = 0.300

---

Verdict on stability: entry two comes out on top.

---

Entry one
La2Se2O: optimized geometry, PBE.

Cell lengths 4.1875, 7.3787, 16.6430 Å; angles 90.00, 90.00, 90.00 degrees
Positions (direct):
Se  0.7500  0.5486  0.1746
Se  0.2500  0.9903  0.8969
Se  0.2500  0.0486  0.3254
Se  0.7500  0.4903  0.6031
Se  0.7500  0.9514  0.6746
Se  0.7500  0.0097  0.1031
Se  0.2500  0.5097  0.3969
Se  0.2500  0.4514  0.8254
La  0.2500  0.2412  0.6663
La  0.7500  0.7412  0.8337
La  0.7500  0.3003  0.9631
La  0.2500  0.8003  0.5369
La  0.2500  0.6997  0.0369
La  0.7500  0.7588  0.3337
La  0.2500  0.2588  0.1663
La  0.7500  0.1997  0.4631
O  0.7500  0.8709  0.4674
O  0.7500  0.6291  0.9674
O  0.2500  0.3709  0.0326
O  0.2500  0.1291  0.5326

Results
- DOS(E_F) (states/eV/atom) = 0.000
- symmetry = No. 62
- total magnetization (μB per formula unit) = 0.000

---

Entry two
La2Se2O: optimized geometry, PBE.

Cell lengths 6.0851, 7.5626, 7.5626 Å; angles 52.32, 66.28, 66.28 degrees
Positions (direct):
La  0.1049  0.5977  0.1925
La  0.6049  0.1925  0.5977
La  0.3951  0.8075  0.4023
La  0.8951  0.4023  0.8075
O  0.7500  0.5000  0.5000
O  0.2500  0.5000  0.5000
Se  0.8543  0.9804  0.3110
Se  0.3543  0.3110  0.9804
Se  0.1457  0.0196  0.6890
Se  0.6457  0.6890  0.0196

Results
- symmetry = No. 72
- total magnetization (μB per formula unit) = 0.000

---

Verdict on stability: entry one comes out on top.

---

Entry one
La2Se2O: optimized geometry, PBE.

Cell lengths 4.1638, 7.4665, 8.6031 Å; angles 90.00, 104.00, 90.00 degrees
Positions (direct):
Se  0.9649  0.7890  0.9298
Se  0.7938  0.0933  0.5877
Se  0.2062  0.5933  0.4123
Se  0.0351  0.2890  0.0702
La  0.1594  0.9876  0.3188
La  0.8406  0.4876  0.6812
La  0.5683  0.5998  0.1366
La  0.4317  0.0998  0.8634
O  0.6106  0.8959  0.2212
O  0.3894  0.3959  0.7788

Results
- DOS(E_F) (states/eV/atom) = 0.000
- symmetry = No. 36
- total magnetization (μB per formula unit) = 0.000

---

Entry two
La2Se2O: optimized geometry, PBE.

Cell lengths 7.5078, 7.4552, 9.0225 Å; angles 80.60, 90.00, 90.00 degrees
Positions (direct):
O  0.9157  0.6482  0.3857
O  0.4157  0.8518  0.6143
O  0.5843  0.1482  0.3857
O  0.0843  0.3518  0.6143
La  0.5520  0.7555  0.8562
La  0.0520  0.7445  0.1438
La  0.4480  0.2445  0.1438
La  0.1439  0.6773  0.5754
La  0.3561  0.1773  0.5754
La  0.9480  0.2555  0.8562
La  0.8561  0.3227  0.4246
La  0.6439  0.8227  0.4246
Se  0.2250  0.5276  0.9219
Se  0.7750  0.4724  0.0781
Se  0.8649  0.9379  0.6767
Se  0.3649  0.5621  0.3233
Se  0.6351  0.4379  0.6767
Se  0.2750  0.0276  0.9219
Se  0.7250  0.9724  0.0781
Se  0.1351  0.0621  0.3233

Results
- DOS(E_F) (states/eV/atom) = 0.000
- symmetry = No. 14
- total magnetization (μB per formula unit) = 0.000

---

Verdict on stability: entry two comes out on top.